A relaxed CoHg2Os crystal. Source: Alexandria, functional PBE.

Unit cell a=5.4465 b=5.4465 c=5.4465 alpha=147.57 beta=128.50 gamma=62.19
Positions (direct):
Co 0.2500 0.7500 0.5000
Os 0.7500 0.2500 0.5000
Hg 0.4851 0.4851 0.0000
Hg 0.0149 0.0149 0.0000

Values from the calculation:
spin magnetization: 2.26 μB/f.u.
calculated volume: 16.8 A^3/atom
energy of formation from the pure elements: 0.8796 eV per atom